# Pm2Si4PtAu3

A geometry-optimized Pm2Si4PtAu3 structure (PBE, Alexandria via LeMat-Bulk). Values from VASP.

Density of states at the Fermi level: 0.46 states/eV/atom
Total DFT energy (no corrections): -53.7 eV/cell
Formation energy from raw total energies: -0.67 eV per atom
Total moment: 0.0 μB/f.u.

Geometry as Quantum ESPRESSO input:
```
&SYSTEM
  ibrav = 0, nat = 10, ntyp = 4
/
ATOMIC_SPECIES
Pm 145.00 Pm.upf
Si 28.09 Si.upf
Pt 195.08 Pt.upf
Au 196.97 Au.upf
ATOMIC_POSITIONS crystal
Pm 0.000 0.500 0.245
Pm 0.500 0.000 0.755
Si 0.000 0.000 0.500
Si 0.000 0.500 0.871
Si 0.500 0.000 0.129
Si 0.500 0.500 0.500
Pt 0.500 0.500 0.000
Au 0.000 0.000 0.000
Au 0.000 0.500 0.632
Au 0.500 0.000 0.368
CELL_PARAMETERS angstrom
4.295 0.000 0.000
0.000 4.295 0.000
0.000 0.000 10.312
```